Record 1
Below is a geometry-optimized Tb3HfN4 structure, with properties calculated at the GGA-PBE level.

Cell: 3.4021 5.9126 5.9126 Å, 109.19 90.00 90.00°
Last column: nearest neighbours and their distance in Å.
Atoms (fractional coordinates):
Hf 0.5000 0.0000 0.0000  6 N 2.30-2.32
Tb 0.0000 0.0000 0.5000  6 N 2.41-2.42
Tb 0.5000 0.5000 0.5000  6 N 2.51-2.52
Tb 0.0000 0.5000 0.0000  6 N 2.41-2.42
N 0.0000 0.2311 0.2311  2 Hf 2.32, 4 Tb 2.41-2.51
N 0.5000 0.7617 0.2383  1 Hf 2.30, 5 Tb 2.42-2.52
N 0.0000 0.7689 0.7689  2 Hf 2.32, 4 Tb 2.41-2.51
N 0.5000 0.2383 0.7617  1 Hf 2.30, 5 Tb 2.42-2.52

Results
- uncorrected formation energy (kJ per mole of atoms) = -166.0
- volume (A^3/atom) = 14.04
- total magnetic moment (μB/f.u.) = 0.000
- symmetry = Cmmm

=====

Record 2
Below is a geometry-optimized TbHf3N4 structure, with properties calculated at the GGA-PBE level.

Cell: 3.2573 3.2573 21.5526 Å, 90.00 90.00 120.00°
Last column: nearest neighbours and their distance in Å.
Atoms (fractional coordinates):
Hf 0.0000 0.0000 0.0000  6 N 2.28
Hf 0.0000 0.0000 0.5000  6 N 2.28
Hf 0.3333 0.6667 0.8789  6 N 2.23-2.30
Hf 0.6667 0.3333 0.1211  6 N 2.23-2.30
Hf 0.6667 0.3333 0.3789  6 N 2.23-2.30
Hf 0.3333 0.6667 0.6211  6 N 2.23-2.30
Tb 0.6667 0.3333 0.7500  6 N 2.46
Tb 0.3333 0.6667 0.2500  6 N 2.46
N 0.6667 0.3333 0.9401  6 Hf 2.28-2.30
N 0.3333 0.6667 0.0599  6 Hf 2.28-2.30
N 0.3333 0.6667 0.4401  6 Hf 2.28-2.30
N 0.6667 0.3333 0.5599  6 Hf 2.28-2.30
N 0.0000 0.0000 0.8233  3 Hf 2.23, 3 Tb 2.46
N 0.0000 0.0000 0.1767  3 Hf 2.23, 3 Tb 2.46
N 0.0000 0.0000 0.3233  3 Hf 2.23, 3 Tb 2.46
N 0.0000 0.0000 0.6767  3 Hf 2.23, 3 Tb 2.46

Results
- uncorrected formation energy (kJ per mole of atoms) = -168.6
- volume (A^3/atom) = 12.38
- total magnetic moment (μB/f.u.) = 0.000
- symmetry = P6_3/mmc